Below is CuOs2Br at its PBEsol-relaxed geometry, with properties calculated at the SCAN level.

Unit cell a=5.288 b=9.302 c=2.860 alpha=90.00 beta=121.45 gamma=90.00
Sites, in units of the cell vectors:
Cu (0.000, 0.000, 0.000)
Cu (0.500, 0.500, 0.000)
Os (0.250, 0.250, 0.500)
Os (0.250, 0.750, 0.500)
Os (0.750, 0.250, 0.500)
Os (0.750, 0.750, 0.500)
Br (0.000, 0.500, 0.000)
Br (0.500, 0.000, 0.000)

Results
Formation energy (no corrections): 1297 meV per atom
DOS(E_F): 0.977 states/eV/atom
Calculated volume: 60.0 Å³/f.u.
VASP energy: -43.3075 eV/atom
Space group: C2/m (12)

Below is Cu2OsBr at its PBEsol-relaxed geometry, with properties calculated at the SCAN level.

Unit cell a=3.727 b=3.727 c=8.153 alpha=90.00 beta=90.00 gamma=90.00
Sites, in units of the cell vectors:
Cu (0.000, 0.500, 0.250)
Cu (0.000, 0.500, 0.750)
Cu (0.500, 0.000, 0.250)
Cu (0.500, 0.000, 0.750)
Os (0.000, 0.000, 0.000)
Os (0.500, 0.500, 0.500)
Br (0.000, 0.000, 0.500)
Br (0.500, 0.500, 0.000)

Results
Formation energy (no corrections): 1250 meV per atom
DOS(E_F): 1.039 states/eV/atom
Calculated volume: 56.6 Å³/f.u.
Energy above the lowest structure with this stoichiometry: 0.554 eV/atom
VASP energy: -29.1840 eV/atom
Space group: I4/mmm (139)

In order of appearance, spin magnetization = 0.00, 0.55 Bohr magnetons per cell.